Record 1
Below is a relaxed structure of HfPaTi2, with properties calculated at the GGA-PBE level.

a b c (Å): 3.0712 3.0712 30.0635
angles (deg): 90.00 90.00 120.00
Space group R3m (No. 160, hexagonal axes)
One atom of each set of equivalent atoms:
Hf: 0.0000 0.0000 0.0000
Pa: 0.0000 0.0000 0.1665
Ti: 0.0000 0.0000 0.4149
Ti: 0.0000 0.0000 0.5849

Output
Offset from the most stable computed form: 12.0 meV per atom
Energy: -104.7 eV per cell
Fermi-level density of states: 1.56 states/eV per atom
Crystal system: trigonal
V: 20.5 Å³/atom

***

Record 2
Below is a relaxed structure of HfPaTi, with properties calculated at the GGA-PBE level.

a b c (Å): 3.0785 3.0785 13.6127
angles (deg): 90.00 90.00 90.00
Space group P4/nmm (No. 129, origin choice 2)
One atom of each set of equivalent atoms:
Hf: 0.2500 0.2500 0.2244
Pa: 0.2500 0.2500 0.5923
Ti: 0.2500 0.2500 0.9293

Output
Offset from the most stable computed form: 0.0 meV per atom
Energy: -54.2 eV per cell
Fermi-level density of states: 1.72 states/eV per atom
Crystal system: tetragonal
V: 21.5 Å³/atom

***

Record 3
Below is a relaxed structure of HfPaTiV, with properties calculated at the GGA-PBE level.

a b c (Å): 6.7536 6.7536 6.7536
angles (deg): 90.00 90.00 90.00
Space group F-43m (No. 216)
One atom of each set of equivalent atoms:
Hf: 0.0000 0.0000 0.0000
Pa: 0.0000 0.0000 0.5000
Ti: 0.2500 0.2500 0.2500
V: 0.2500 0.2500 0.7500

Output
Energy: -144.2 eV per cell
Fermi-level density of states: 1.54 states/eV per atom
Crystal system: cubic
V: 19.3 Å³/atom

***

Number 1: ρ 10.2 g/cm³, formation energy from the elements 0.08 eV/atom. Number 2: ρ 11.8 g/cm³, formation energy from the elements 0.08 eV/atom. Number 3: ρ 11.0 g/cm³, formation energy from the elements 0.10 eV/atom.